# 1
ErZrTl | PBE | relaxed

Unit cell a=5.2271 b=5.2271 c=3.1464 alpha=90.00 beta=90.00 gamma=120.00
Space group P-6m2 (No. 187)
One atom of each set of equivalent atoms:
Er 0.0000 0.0000 0.0000
Zr 0.6667 0.3333 0.0000
Tl 0.3333 0.6667 0.5000

Output
DFT formation energy in eV per atom: 0.209
Energy above the lowest structure with this stoichiometry in eV/atom: 0.4047


# 2
La2GaSb3Rh4 | PBE | relaxed

Unit cell a=4.458 b=4.458 c=10.703 alpha=90.00 beta=90.00 gamma=90.00
Space group P-4m2 (No. 115)
One atom of each set of equivalent atoms:
La 0.000 0.500 0.242
Ga 0.500 0.500 0.000
Sb 0.000 0.000 0.000
Sb 0.000 0.500 0.634
Rh 0.000 0.000 0.500
Rh 0.000 0.500 0.876
Rh 0.500 0.500 0.500

Output
ΔE_f (raw) in eV/atom: -0.878


# 3
Sr2LuRuO6 | PBE | relaxed

Unit cell a=5.771 b=5.799 c=9.977 alpha=90.00 beta=125.08 gamma=90.00
Space group P2_1/c (No. 14)
One atom of each set of equivalent atoms:
Sr 0.243 0.030 0.249
Lu 0.500 0.000 0.000
Ru 0.000 0.000 0.500
O 0.169 0.229 0.964
O 0.234 0.707 0.965
O 0.305 0.015 0.738

Output
ΔE_f (raw) in eV/atom: -2.484


# 4
Ho3Ga4Co2 | PBE | relaxed

Unit cell a=10.472 b=4.243 c=8.072 alpha=90.00 beta=106.65 gamma=90.00
Space group C2/m (No. 12)
One atom of each set of equivalent atoms:
Ho 0.000 0.000 0.000
Ho 0.126 0.500 0.688
Ga 0.099 0.000 0.405
Ga 0.218 0.500 0.080
Co 0.186 0.500 0.363

Output
DFT formation energy in eV per atom: -0.538
Energy above the lowest structure with this stoichiometry in eV/atom: 0.0000


# 5
NpGaRhO6 | PBE | relaxed

Unit cell a=5.2313 b=5.2313 c=8.8414 alpha=90.00 beta=90.00 gamma=120.00
Space group P-31c (No. 163)
One atom of each set of equivalent atoms:
Np 0.3333 0.6667 0.2500
Ga 0.3333 0.6667 0.7500
Rh 0.0000 0.0000 0.0000
O 0.0091 0.3369 0.6272

Output
ΔE_f (raw) in eV/atom: -1.776


# 6
Be2CdOsRu | PBE | relaxed

Unit cell a=4.244 b=4.244 c=4.742 alpha=90.00 beta=90.00 gamma=90.00
Space group P4/mmm (No. 123)
One atom of each set of equivalent atoms:
Be 0.000 0.500 0.000
Cd 0.000 0.000 0.500
Os 0.500 0.500 0.000
Ru 0.500 0.500 0.500

Output
DFT formation energy in eV per atom: 0.872


no.,uncorrected energy (eV/atom),calculated volume (A^3/atom),calculated density (g/cm3)
1,-4.95,24.817,10.3
2,-6.34,21.271,8.8
3,-7.18,13.664,6.7
4,-4.99,19.092,8.6
5,-7.67,11.641,8.0
6,-4.90,17.082,8.2